First-principles (GGA-PBE) data for a relaxed YNiMo2 crystal, as listed in Alexandria via LeMat-Bulk. Values from VASP.

```
&SYSTEM
  ibrav = 0, nat = 4, ntyp = 3
/
ATOMIC_SPECIES
Mo 95.94 Mo.upf
Ni 58.69 Ni.upf
Y 88.91 Y.upf
ATOMIC_POSITIONS angstrom
Mo 1.116 -1.884 1.858
Mo 0.202 -0.045 0.135
Ni 3.284 -0.725 2.195
Y 4.348 -2.598 4.018
CELL_PARAMETERS angstrom
-1.645 -0.287 2.365
0.167 -2.660 -1.129
6.952 -1.536 4.647
```

**SG**: Cmm2 (35)
**Excess energy over the best structure of this formula in the dataset**: 0.170 eV/atom
**Total magnetic moment**: 0.0 μB/cell
**ΔH_f (0 K)**: 287.4 meV/atom
**Calculated volume**: 17.2 Å³/atom